A relaxed structure of Ba2YTlCo2O7, computed with PBE+U.

Output
Its space group is Cm. The value obtained for the magnetic moment is 1.00 μB per formula unit. Its offset from the most stable computed form is 1.0 kJ/mol of atoms.

The structure in POSCAR format:
```
Ba2YTlCo2O7
1.0
-2.1255 -0.3223 -3.2593
9.5305 -7.5799 -5.4925
-1.6751 -7.5003 1.7800
O Ba Tl Co Y
14 4 2 4 2
Direct
0.9940 0.8056 0.0936
0.9932 0.3881 0.5411
0.4928 0.3834 0.3062
0.9941 0.1944 0.8992
0.9928 0.3907 0.0679
0.4928 0.6166 0.6895
0.4939 0.6071 0.1947
0.9928 0.6093 0.4586
0.4940 0.3929 0.8018
0.6671 0.0000 0.2394
0.9922 0.7986 0.5976
0.9923 0.2014 0.3962
0.9931 0.6119 0.9293
0.4522 0.0000 0.8500
0.5029 0.7873 0.3506
0.4889 0.2067 0.6417
0.4889 0.7933 0.8484
0.5029 0.2127 0.1379
0.9666 0.0000 0.0004
0.0466 0.0000 0.4760
0.9941 0.6469 0.1707
0.9950 0.6451 0.6754
0.9942 0.3531 0.8176
0.9950 0.3549 0.3205
0.4937 0.5006 0.9974
0.4938 0.4994 0.4981
```